4
Lattice="0.000 3.194 3.194 3.194 0.000 3.194 3.194 3.194 0.000" Properties=species:S:1:pos:R:3 comment="CaFeIr2 GGA-PBE optimized geometry" total_energy_ev_per_cell=-27.44 n_ef_per_ev_fu=1.608 rho_g_cm3=12.2 e_above_lowest_polymorph_ev_per_fu=0.766 formation_energy_mev_per_atom=186 total_magnetization_mub_per_fu=4.16 pbc="T T T"
Ca 0.000 0.000 0.000
Ir 1.597 1.597 1.597
Ir 4.790 4.790 4.790
Fe 3.194 3.194 3.194


18
Lattice="6.562 0.000 0.000 0.000 9.583 0.000 0.000 -4.792 8.299" Properties=species:S:1:pos:R:3 comment="SmDy3Pb5 GGA-PBE optimized geometry" total_energy_ev_per_cell=-81.31 n_ef_per_ev_fu=9.072 rho_g_cm3=10.7 formation_energy_mev_per_atom=-399 total_magnetization_mub_per_fu=0.00 pbc="T T T"
Sm 0.000 0.000 0.000
Sm 3.281 0.000 0.000
Dy 4.922 3.639 0.000
Dy 4.922 2.972 5.148
Dy 4.922 -1.820 3.152
Dy 1.641 5.944 0.000
Dy 1.641 1.820 3.152
Dy 1.641 -2.972 5.148
Pb 0.000 0.000 5.533
Pb 3.281 4.792 2.766
Pb 0.000 4.792 2.766
Pb 3.281 0.000 5.533
Pb 4.922 6.769 0.000
Pb 4.922 1.407 2.437
Pb 4.922 -3.384 5.862
Pb 1.641 2.815 0.000
Pb 1.641 3.384 5.862
Pb 1.641 -1.407 2.437


4
Lattice="5.316 0.000 0.000 2.658 4.604 0.000 2.658 1.535 4.340" Properties=species:S:1:pos:R:3 comment="PmHoPbAu GGA-PBE optimized geometry" total_energy_ev_per_cell=-18.73 n_ef_per_ev_fu=3.429 rho_g_cm3=11.2 formation_energy_mev_per_atom=-603 total_magnetization_mub_per_fu=0.79 pbc="T T T"
Pb 5.316 3.069 2.170
Au 0.000 0.000 0.000
Ho 7.974 4.604 3.255
Pm 2.658 1.535 1.085


18
Lattice="-0.615 5.006 5.350 -4.686 -1.067 5.565 2.521 -1.451 6.753" Properties=species:S:1:pos:R:3 comment="K2InOs3O12 GGA-PBE optimized geometry" total_energy_ev_per_cell=-119.55 n_ef_per_ev_fu=9.565 rho_g_cm3=5.7 raw_formation_energy_ev_per_atom=-1.190 total_magnetization_mub_per_fu=2.13 pbc="T T T"
K -1.748 1.565 11.110
K -1.032 0.923 6.557
In 0.000 0.000 0.000
Os -0.308 2.503 2.675
Os -2.343 -0.533 2.782
Os 1.260 -0.725 3.376
O 0.719 -0.143 9.567
O -3.974 3.103 12.418
O -2.206 -0.536 13.208
O -1.228 3.864 8.697
O 0.088 2.886 13.087
O -3.754 0.095 8.830
O -3.499 2.632 8.100
O 1.194 -0.614 5.249
O -0.574 3.025 4.459
O -1.552 -1.376 8.970
O -2.868 -0.398 4.580
O 0.974 2.393 8.837


11
Lattice="-2.983 -0.988 3.852 4.277 -6.530 1.638 4.919 7.396 2.500" Properties=species:S:1:pos:R:3 comment="Nd8CdGa2 GGA-PBE optimized geometry" total_energy_ev_per_cell=-47.67 n_ef_per_ev_fu=13.323 rho_g_cm3=7.0 formation_energy_mev_per_atom=-233 total_magnetization_mub_per_fu=0.00 pbc="T T T"
Nd 5.081 2.034 4.458
Nd 3.739 -4.255 5.013
Nd 3.806 -0.819 5.946
Nd 2.737 4.137 6.390
Nd 2.407 0.697 2.043
Nd 2.474 4.133 2.977
Nd 1.132 -2.156 3.532
Nd 3.476 -4.259 1.600
Cd -1.492 -0.494 1.926
Ga 1.892 1.461 5.049
Ga 4.321 -1.583 2.941


5
Lattice="3.907 0.000 0.000 0.000 3.907 0.000 0.000 0.000 3.882" Properties=species:S:1:pos:R:3 comment="ReHIrRu2 GGA-PBE optimized geometry" total_energy_ev_per_cell=-42.99 n_ef_per_ev_fu=2.781 rho_g_cm3=16.3 total_magnetization_mub_per_fu=0.00 pbc="T T T"
Re 1.954 1.954 1.941
Ir 0.000 0.000 1.941
H 0.000 0.000 0.000
Ru 0.000 1.954 0.000
Ru 1.954 0.000 0.000


Copy entry 6 word for word.
5
Lattice="3.907 0.000 0.000 0.000 3.907 0.000 0.000 0.000 3.882" Properties=species:S:1:pos:R:3 comment="ReHIrRu2 GGA-PBE optimized geometry" total_energy_ev_per_cell=-42.99 n_ef_per_ev_fu=2.781 rho_g_cm3=16.3 total_magnetization_mub_per_fu=0.00 pbc="T T T"
Re 1.954 1.954 1.941
Ir 0.000 0.000 1.941
H 0.000 0.000 0.000
Ru 0.000 1.954 0.000
Ru 1.954 0.000 0.000


Q: Which formula does entry 3 have?
A: PmHoPbAu